(1)
PBE KIr2RuC, optimized geometry; Fermi-level density of states = 1.44 states/eV/atom; mass density = 9.7 g/cm3; uncorrected energy = -3.63 eV/atom
1.0
4.737 0.000 0.000
0.000 4.101 0.000
0.000 0.000 4.737
Ru Ir K C
1 2 1 1
Direct
0.500 0.500 0.500
0.500 0.000 0.000
0.000 0.000 0.500
0.000 0.000 0.000
0.000 0.500 0.000

(2)
PBE KIrCS2, optimized geometry; formation energy (no corrections) = 1746 meV/atom; Fermi-level density of states = 0.69 states/eV/atom; mass density = 6.3 g/cm3; uncorrected energy = -3.74 eV/atom
1.0
-1.037 3.619 -1.948
-4.010 -1.715 -1.052
-1.594 1.498 3.631
K Ir S C
1 1 2 1
Direct
0.000 0.500 0.000
0.500 0.500 0.500
0.500 0.000 0.000
0.000 0.000 0.500
0.000 0.000 0.000

(3)
PBE KSbIrC2, optimized geometry; formation energy (no corrections) = 3711 meV/atom; Fermi-level density of states = 0.88 states/eV/atom; mass density = 5.4 g/cm3; uncorrected energy = -2.80 eV/atom
1.0
4.242 0.000 0.000
0.000 6.415 0.000
0.000 0.000 4.242
C K Ir Sb
2 1 1 1
Direct
0.500 0.000 0.000
0.000 0.000 0.500
0.000 0.000 0.000
0.500 0.500 0.500
0.000 0.500 0.000

(4)
PBE K2SbIrC, optimized geometry; formation energy (no corrections) = 1315 meV/atom; Fermi-level density of states = 0.45 states/eV/atom; mass density = 3.5 g/cm3; uncorrected energy = -3.57 eV/atom
1.0
-1.169 3.846 -4.838
-1.888 -3.761 -2.534
-5.689 1.257 2.373
Ir K C Sb
1 2 1 1
Direct
0.000 0.000 0.000
0.500 0.000 0.000
0.000 0.000 0.500
0.500 0.500 0.500
0.000 0.500 0.000

(5)
PBE KIr2CSe, optimized geometry; formation energy (no corrections) = 709 meV/atom; Fermi-level density of states = 1.27 states/eV/atom; mass density = 9.6 g/cm3; uncorrected energy = -5.60 eV/atom
1.0
4.074 0.000 0.000
0.000 5.358 0.000
0.000 0.000 4.074
Ir Se C K
2 1 1 1
Direct
0.000 0.000 0.500
0.500 0.000 0.000
0.000 0.500 0.000
0.000 0.000 0.000
0.500 0.500 0.500

(6)
PBE KSiIrC2, optimized geometry; formation energy (no corrections) = 3953 meV/atom; Fermi-level density of states = 1.21 states/eV/atom; mass density = 5.2 g/cm3; uncorrected energy = -2.81 eV/atom
1.0
4.117 0.000 0.000
0.000 5.384 0.000
0.000 0.000 4.117
K Si Ir C
1 1 1 2
Direct
0.000 0.000 0.000
0.500 0.500 0.500
0.000 0.500 0.000
0.000 0.000 0.500
0.500 0.000 0.000

(7)
PBE KIrWC2, optimized geometry; Fermi-level density of states = 1.16 states/eV/atom; mass density = 8.2 g/cm3; uncorrected energy = -6.62 eV/atom
1.0
4.235 0.000 0.000
0.000 4.955 0.000
0.000 0.000 4.235
Ir K C W
1 1 2 1
Direct
0.000 0.500 0.000
0.500 0.500 0.500
0.000 0.000 0.500
0.500 0.000 0.000
0.000 0.000 0.000

(8)
PBE LaIrC3, optimized geometry; Fermi-level density of states = 0.92 states/eV/atom; mass density = 9.1 g/cm3; uncorrected energy = -7.24 eV/atom
1.0
-4.053 0.020 0.113
-0.114 -0.092 -4.052
-0.018 -4.054 0.092
La C Ir
1 3 1
Direct
0.500 0.500 0.500
0.000 0.000 0.500
0.000 0.500 0.000
0.500 0.000 0.000
0.000 0.000 0.000

Question: The highest uncorrected energy belongs to which entry?
Answer: KSbIrC2

Question: Fermi-level density of states of number 2 (KIrCS2)?
Answer: 0.69 states/eV/atom

Question: Number 1 is which compound?
Answer: KIr2RuC